1.
The following is a DFT calculation (meta-GGA SCAN) of a PBEsol-optimized structure of Cu2SbRu.

Properties
M_tot: 0.00 μB per formula unit
Formation energy without anion corrections: 0.123 eV/atom
Crystal system: tetragonal

Lattice parameters (Å, degrees): 3.248 3.248 5.485 90.00 90.00 90.00
Space group P4mm (No. 99)
Asymmetric unit:
Cu 0.000 0.000 0.000
Cu 0.500 0.500 0.190
Sb 0.500 0.500 0.707
Ru 0.000 0.000 0.467



2.
The following is a DFT calculation (meta-GGA SCAN) of a PBEsol-optimized structure of Cu2SbRu.

Properties
M_tot: 0.00 μB per formula unit
Formation energy without anion corrections: 0.283 eV/atom
Crystal system: monoclinic

Lattice parameters (Å, degrees): 5.212 9.302 2.977 90.00 124.35 90.00
Space group C2/m (No. 12)
Asymmetric unit:
Cu 0.250 0.250 0.000
Sb 0.000 0.000 0.500
Ru 0.000 0.500 0.500



3.
The following is a DFT calculation (meta-GGA SCAN) of a PBEsol-optimized structure of CuSb4Ru.

Properties
M_tot: 2.20 μB per formula unit
Formation energy without anion corrections: 1.150 eV/atom
Crystal system: cubic

Lattice parameters (Å, degrees): 8.361 8.361 8.361 90.00 90.00 90.00
Space group F-43m (No. 216)
Asymmetric unit:
Cu 0.000 0.000 0.000
Sb 0.125 0.125 0.625
Ru 0.250 0.250 0.250



4.
The following is a DFT calculation (meta-GGA SCAN) of a PBEsol-optimized structure of Cu2SbRu.

Properties
M_tot: 0.00 μB per formula unit
Formation energy without anion corrections: 0.078 eV/atom
Crystal system: tetragonal

Lattice parameters (Å, degrees): 3.788 3.788 7.832 90.00 90.00 90.00
Space group I-4m2 (No. 119)
Asymmetric unit:
Cu 0.000 0.000 0.000
Cu 0.000 0.500 0.250
Sb 0.000 0.500 0.750
Ru 0.000 0.000 0.500



5.
The following is a DFT calculation (meta-GGA SCAN) of a PBEsol-optimized structure of CuSb2Ru.

Properties
M_tot: 0.00 μB per formula unit
Formation energy without anion corrections: 0.341 eV/atom
Crystal system: tetragonal

Lattice parameters (Å, degrees): 4.628 4.628 3.268 90.00 90.00 90.00
Space group P4/mmm (No. 123)
Asymmetric unit:
Cu 0.000 0.000 0.000
Sb 0.000 0.500 0.500
Ru 0.500 0.500 0.000



6.
The following is a DFT calculation (meta-GGA SCAN) of a PBEsol-optimized structure of CuSb2TeRu.

Properties
M_tot: 0.01 μB per formula unit
Formation energy without anion corrections: 1.118 eV/atom
Crystal system: tetragonal

Lattice parameters (Å, degrees): 4.831 4.831 4.957 90.00 90.00 90.00
Space group P4/mmm (No. 123)
Asymmetric unit:
Cu 0.000 0.000 0.000
Sb 0.000 0.500 0.000
Te 0.000 0.000 0.500
Ru 0.500 0.500 0.500



7.
The following is a DFT calculation (meta-GGA SCAN) of a PBEsol-optimized structure of Sc2CuRu.

Properties
E_form: -0.5540 eV/atom
M_tot: 0.00 μB per formula unit
Crystal system: tetragonal

Lattice parameters (Å, degrees): 4.495 4.495 6.385 90.00 90.00 90.00
Space group I4/mmm (No. 139)
Asymmetric unit:
Sc 0.000 0.500 0.250
Cu 0.000 0.000 0.000
Ru 0.000 0.000 0.500



8.
The following is a DFT calculation (meta-GGA SCAN) of a PBEsol-optimized structure of ScCuRu2.

Properties
E_form: -0.0856 eV/atom
M_tot: 0.00 μB per formula unit
Crystal system: monoclinic

Lattice parameters (Å, degrees): 4.418 2.882 4.615 90.00 105.97 90.00
Space group P2/m (No. 10)
Asymmetric unit:
Sc 0.000 0.000 0.000
Cu 0.000 0.500 0.500
Ru 0.500 0.000 0.500
Ru 0.500 0.500 0.000



9.
The following is a DFT calculation (meta-GGA SCAN) of a PBEsol-optimized structure of ScCuRu2.

Properties
E_form: 0.2606 eV/atom
M_tot: 0.00 μB per formula unit
Crystal system: trigonal

Lattice parameters (Å, degrees): 2.7516 2.7516 26.4866 90.00 90.00 120.00
Space group R3m (No. 160, hexagonal axes)
Asymmetric unit:
Sc 0.0000 0.0000 0.0000
Cu 0.0000 0.0000 0.7532
Ru 0.0000 0.0000 0.2433
Ru 0.0000 0.0000 0.5002



10.
The following is a DFT calculation (meta-GGA SCAN) of a PBEsol-optimized structure of Sc2CuRu.

Properties
E_form: -0.5646 eV/atom
M_tot: 0.00 μB per formula unit
Crystal system: tetragonal

Lattice parameters (Å, degrees): 3.197 3.197 6.358 90.00 90.00 90.00
Space group P4/mmm (No. 123)
Asymmetric unit:
Sc 0.000 0.000 0.241
Cu 0.500 0.500 0.500
Ru 0.500 0.500 0.000



11.
The following is a DFT calculation (meta-GGA SCAN) of a PBEsol-optimized structure of ScCuRu2.

Properties
E_form: 0.0256 eV/atom
M_tot: 0.02 μB per formula unit
Crystal system: orthorhombic

Lattice parameters (Å, degrees): 3.002 4.467 8.580 90.00 90.00 90.00
Space group Immm (No. 71)
Asymmetric unit:
Sc 0.000 0.000 0.000
Cu 0.000 0.000 0.500
Ru 0.000 0.500 0.246



12.
The following is a DFT calculation (meta-GGA SCAN) of a PBEsol-optimized structure of CuRu2Se.

Properties
M_tot: 0.00 μB per formula unit
Formation energy without anion corrections: 0.339 eV/atom
Crystal system: trigonal

Lattice parameters (Å, degrees): 2.7939 2.7939 24.7342 90.00 90.00 120.00
Space group R3m (No. 160, hexagonal axes)
Asymmetric unit:
Cu 0.0000 0.0000 0.0000
Ru 0.0000 0.0000 0.4997
Ru 0.0000 0.0000 0.7510
Se 0.0000 0.0000 0.2474